1.
# FePb4Au (GGA-PBE, optimized geometry)
# Uncorrected energy: -87.869 eV/cell
# Calculated formation energy: 0.768 eV/atom
# V: 713.4 Å³ per cell
data_FePb4Au
_cell_length_a 8.935
_cell_length_b 8.935
_cell_length_c 8.935
_cell_angle_alpha 90.00
_cell_angle_beta 90.00
_cell_angle_gamma 90.00
_symmetry_space_group_name_H-M 'F -4 3 m'
_symmetry_Int_Tables_number 216
_symmetry_space_group_name_Hall 'F -4 2 3'
loop_
_atom_site_label
_atom_site_fract_x
_atom_site_fract_y
_atom_site_fract_z
Fe1 0.000 0.000 0.000
Pb1 0.125 0.125 0.625
Au1 0.250 0.250 0.250

***

2.
# Ca2MgTe (GGA-PBE, optimized geometry)
# Uncorrected energy: -10.755 eV/cell
# Excess energy over the best structure of this formula in the dataset: 0.83 eV/f.u.
# Raw formation energy: -504 meV per atom
# V: 130.0 Å³ per cell
data_Ca2MgTe
_cell_length_a 3.890
_cell_length_b 3.890
_cell_length_c 8.595
_cell_angle_alpha 90.00
_cell_angle_beta 90.00
_cell_angle_gamma 90.00
_symmetry_space_group_name_H-M 'P 4 m m'
_symmetry_Int_Tables_number 99
_symmetry_space_group_name_Hall 'P 4 -2'
loop_
_atom_site_label
_atom_site_fract_x
_atom_site_fract_y
_atom_site_fract_z
Ca1 0.000 0.000 0.000
Ca2 0.500 0.500 0.349
Mg1 0.000 0.000 0.604
Te1 0.500 0.500 0.785

***

3.
# YScSnPb (GGA-PBE, optimized geometry)
# Uncorrected energy: -88.544 eV/cell
# Calculated formation energy: -0.407 eV/atom
# V: 418.5 Å³ per cell
data_YScSnPb
_cell_length_a 7.480
_cell_length_b 7.480
_cell_length_c 7.480
_cell_angle_alpha 90.00
_cell_angle_beta 90.00
_cell_angle_gamma 90.00
_symmetry_space_group_name_H-M 'F -4 3 m'
_symmetry_Int_Tables_number 216
_symmetry_space_group_name_Hall 'F -4 2 3'
loop_
_atom_site_label
_atom_site_fract_x
_atom_site_fract_y
_atom_site_fract_z
Y1 0.000 0.000 0.000
Sc1 0.000 0.000 0.500
Sn1 0.250 0.250 0.750
Pb1 0.250 0.250 0.250

***

4.
# K2Li (GGA-PBE, optimized geometry)
# Uncorrected energy: -15.269 eV/cell
# Excess energy over the best structure of this formula in the dataset: 0.00 eV/f.u.
# Calculated formation energy: 0.097 eV/atom
# V: 641.1 Å³ per cell
data_K2Li
_cell_length_a 14.384
_cell_length_b 4.697
_cell_length_c 10.092
_cell_angle_alpha 90.00
_cell_angle_beta 109.91
_cell_angle_gamma 90.00
_symmetry_space_group_name_H-M 'C 1 2/m 1'
_symmetry_Int_Tables_number 12
_symmetry_space_group_name_Hall '-C 2y'
loop_
_atom_site_label
_atom_site_fract_x
_atom_site_fract_y
_atom_site_fract_z
K1 0.016 0.000 0.201
K2 0.172 0.500 0.629
Li1 0.200 0.500 0.046

***

- What is the formula in the third record?
  YScSnPb

***

- Among the records above, which one has the lowest V?
  Ca2MgTe